Density functional theory data (PBE) for a geometry-optimized TaTlPbO6 structure.

Properties
* formation energy (no corrections): -1476.3 meV/atom
* energy: -6.774 eV/atom
* total magnetic moment: 0.00 μB per cell

```
data_TaTlPbO6
_symmetry_space_group_name_H-M 'P -3 1 c'
_symmetry_Int_Tables_number 163
_symmetry_space_group_name_Hall '-P 3 2c'
_cell_length_a 5.5290
_cell_length_b 5.5290
_cell_length_c 9.5172
_cell_angle_alpha 90.00
_cell_angle_beta 90.00
_cell_angle_gamma 120.00
loop_
_atom_site_label
_atom_site_type_symbol
_atom_site_fract_x
_atom_site_fract_y
_atom_site_fract_z
Ta1 Ta 0.3333 0.6667 0.2500
Tl1 Tl 0.0000 0.0000 0.0000
Pb1 Pb 0.3333 0.6667 0.7500
O1 O 0.0264 0.3671 0.1332
```